LiRu2Br at its PBEsol-relaxed geometry, computed with meta-GGA SCAN.

The structure in CIF format:
```
data_LiRu2Br
_cell_length_a 2.8872
_cell_length_b 4.2862
_cell_length_c 4.8412
_cell_angle_alpha 90.00
_cell_angle_beta 90.00
_cell_angle_gamma 90.00
_space_group_name_H-M_alt 'P m m m'
_space_group_IT_number 47
loop_
_space_group_symop_operation_xyz
'x,y,z'
'-x,-y,-z'
'-x,-y,z'
'x,y,-z'
'x,-y,-z'
'-x,y,z'
'-x,y,-z'
'x,-y,z'
loop_
_atom_site_label
_atom_site_type_symbol
_atom_site_fract_x
_atom_site_fract_y
_atom_site_fract_z
Li1 Li 0.0000 0.0000 0.0000
Ru1 Ru 0.0000 0.5000 0.5000
Ru2 Ru 0.5000 0.0000 0.5000
Br1 Br 0.5000 0.5000 0.0000
```

Calculated total energy: -22.2783 eV/atom
Uncorrected formation energy: 58 kJ/mol of atoms
E above lowest polymorph: 0.354 eV per atom
Magnetization: 0.5795 μB/atom